1.
A plane-wave DFT calculation with PBE-GGA was carried out for crystalline BaPb2Au2 at its relaxed geometry.

Calculated values
V, Å³/cell: 287
Calculated density, g/cm³: 10.9
VASP energy, eV per cell: -34.31

Cell lengths 8.4814, 8.4814, 3.9874 Å; angles 90.00, 90.00, 90.00 degrees
Last column: nearest neighbours and their distance in Å.
Space group P4/mbm (No. 127)
Symmetry-distinct sites (fractional):
Ba1 0.0000 0.0000 0.0000 [2 per cell]  4 Au 3.36, 8 Pb 3.73
Pb1 0.1676 0.3324 0.5000 [4 per cell]  6 Au 3.20
Au1 0.1238 0.6238 0.0000 [4 per cell]  1 Au 2.97, 6 Pb 3.20

=====

2.
A plane-wave DFT calculation with PBE-GGA was carried out for crystalline BaPbAu2 at its relaxed geometry.

Calculated values
V, Å³/cell: 237
Calculated density, g/cm³: 10.4
VASP energy, eV per cell: -27.89

Cell lengths 11.2931, 4.4964, 4.6576 Å; angles 90.00, 90.10, 90.00 degrees
Last column: nearest neighbours and their distance in Å.
Space group Cm (No. 8)
Symmetry-distinct sites (fractional):
Ba1 0.0000 0.0000 0.0000 [2 per cell]  7 Au 3.17-3.34
Pb1 0.2197 0.5000 0.4996 [2 per cell]  7 Au 3.21-3.31
Au1 0.2808 0.0000 0.9987 [2 per cell]  2 Au 2.91, 1 Ba 3.17
Au2 0.4351 0.0000 0.4994 [2 per cell]  2 Au 2.91, 1 Pb 3.21

=====

3.
A plane-wave DFT calculation with PBE-GGA was carried out for crystalline Ba2PbAu at its relaxed geometry.

Calculated values
V, Å³/cell: 145
Calculated density, g/cm³: 7.8
VASP energy, eV per cell: -13.33

Cell lengths 4.0489, 4.0489, 8.8341 Å; angles 90.00, 90.00, 90.00 degrees
Last column: nearest neighbours and their distance in Å.
Space group P4/mmm (No. 123)
Symmetry-distinct sites (fractional):
Ba1 0.0000 0.0000 0.2301 [2 per cell]  4 Au 3.51, 4 Pb 3.73
Pb1 0.5000 0.5000 0.5000 [1 per cell]  8 Ba 3.73, 4 Pb 4.05
Au1 0.5000 0.5000 0.0000 [1 per cell]  8 Ba 3.51

=====

4.
A plane-wave DFT calculation with PBE-GGA was carried out for crystalline BaPb2Au at its relaxed geometry.

Calculated values
V, Å³/cell: 247
Calculated density, g/cm³: 10.1
VASP energy, eV per cell: -26.97

Cell lengths 5.5707, 5.5880, 7.9275 Å; angles 90.00, 90.00, 90.00 degrees
Last column: nearest neighbours and their distance in Å.
Space group Cmmm (No. 65)
Symmetry-distinct sites (fractional):
Ba1 0.0000 0.0000 0.0000 [2 per cell]  8 Pb 3.71, 4 Ba 3.95, 2 Au 3.96
Pb1 0.0000 0.5000 0.3083 [4 per cell]  1 Pb 3.04, 4 Au 3.17-3.18
Au1 0.0000 0.0000 0.5000 [2 per cell]  8 Pb 3.17-3.18

=====

5.
A plane-wave DFT calculation with PBE-GGA was carried out for crystalline BaPbAu2 at its relaxed geometry.

Calculated values
V, Å³/cell: 113
Calculated density, g/cm³: 10.9
VASP energy, eV per cell: -13.73

Cell lengths 3.9288, 3.9343, 7.3047 Å; angles 90.00, 90.15, 90.00 degrees
Last column: nearest neighbours and their distance in Å.
Space group P2/m (No. 10)
Symmetry-distinct sites (fractional):
Ba1 0.0000 0.0000 0.0000 [1 per cell]  8 Au 3.48, 2 Pb 3.65
Pb1 0.0000 0.0000 0.5000 [1 per cell]  8 Au 3.18-3.19
Au1 0.4988 0.5000 0.7137 [2 per cell]  1 Au 3.12, 4 Pb 3.18-3.19, 4 Ba 3.48

=====

6.
A plane-wave DFT calculation with PBE-GGA was carried out for crystalline BaPb2Au at its relaxed geometry.

Calculated values
V, Å³/cell: 135
Calculated density, g/cm³: 9.2
VASP energy, eV per cell: -14.41

Cell lengths 5.3646, 4.8371, 5.3907 Å; angles 90.00, 105.07, 90.00 degrees
Last column: nearest neighbours and their distance in Å.
Space group P2/m (No. 10)
Symmetry-distinct sites (fractional):
Ba1 0.0000 0.0000 0.0000 [1 per cell]  2 Au 3.27, 4 Pb 3.59
Pb1 0.3110 0.5000 0.6889 [2 per cell]  2 Au 2.91, 1 Pb 3.23
Au1 0.5000 0.0000 0.5000 [1 per cell]  4 Pb 2.91